Here is a geometry-optimized MnNiSbO6 structure from the Alexandria database. Energies are from PBE+U.

DOS at the Fermi energy ... 0.32 states/eV/atom
VASP energy ... -107.990 eV/cell
Crystal system ... trigonal
Size of the total moment ... 12.1 μB/cell

Cell lengths 5.1198, 5.1198, 8.6782 Å; angles 90.00, 90.00, 120.00 degrees
Space group P-31c (No. 163)
One atom of each set of equivalent atoms:
Mn 0.3333 0.6667 0.2500 [2 per cell]
Ni 0.0000 0.0000 0.0000 [2 per cell]
Sb 0.3333 0.6667 0.7500 [2 per cell]
O 0.0129 0.3530 0.1302 [12 per cell]